Entry 1:
Li2AcScAu4 after structural relaxation. Source: Alexandria, functional PBE.

Properties
- V (Å³/atom) = 21.19
- uncorrected energy (eV per atom) = -4.108
- spin magnetization (μB per cell) = 0.0
- N(E_F) (states/eV per atom) = 0.745

abc: 4.6125 4.6125 27.6003
angles: 90.00 90.00 120.00
Space group R-3m (No. 166, hexagonal axes)
Asymmetric unit:
1 Li 0.0000 0.0000 0.2347 x6
2 Ac 0.0000 0.0000 0.0000 x3
3 Sc 0.0000 0.0000 0.5000 x3
4 Au 0.0000 0.0000 0.1247 x6
5 Au 0.0000 0.0000 0.3993 x6



Entry 2:
ScBe3Cu2 after structural relaxation. Source: Alexandria, functional PBE.

Properties
- V (Å³/atom) = 12.11
- uncorrected energy (eV per atom) = -4.391
- spin magnetization (μB per cell) = 0.0
- N(E_F) (states/eV per atom) = 0.616

abc: 8.478 7.098 4.829
angles: 90.00 90.00 90.00
Space group Cmcm (No. 63)
Asymmetric unit:
1 Sc 0.000 0.170 0.250 x4
2 Be 0.000 0.447 0.750 x4
3 Be 0.167 0.223 0.750 x8
4 Cu 0.217 0.500 0.000 x8



Entry 3:
Na3Er2SbTe6 after structural relaxation. Source: Alexandria, functional PBE.

Properties
- V (Å³/atom) = 31.98
- uncorrected formation energy (eV/atom) = -1.02
- uncorrected energy (eV per atom) = -4.022
- spin magnetization (μB per cell) = 0.0
- N(E_F) (states/eV per atom) = 0.000

abc: 7.660 13.269 7.973
angles: 90.00 108.68 90.00
Space group C2/m (No. 12)
Asymmetric unit:
1 Na 0.000 0.000 0.000 x2
2 Na 0.000 0.337 0.000 x4
3 Er 0.000 0.167 0.500 x4
4 Sb 0.000 0.500 0.500 x2
5 Te 0.242 0.000 0.728 x4
6 Te 0.244 0.333 0.730 x8



Entry 4:
AlV6Cr after structural relaxation. Source: Alexandria, functional PBE.

Properties
- V (Å³/atom) = 13.36
- uncorrected energy (eV per atom) = -8.585
- polymorph energy (0 for the lowest one) (eV/atom) = 0.0118
- spin magnetization (μB per cell) = 0.0
- N(E_F) (states/eV per atom) = 1.438

abc: 4.188 6.003 8.501
angles: 90.00 90.00 90.00
Space group Amm2 (No. 38)
Asymmetric unit:
1 Al 0.000 0.000 0.000 x2
2 V 0.000 0.000 0.497 x2
3 V 0.000 0.244 0.747 x4
4 V 0.500 0.000 0.241 x2
5 V 0.500 0.232 0.498 x4
6 Cr 0.500 0.000 0.757 x2